[1]
The following is a DFT calculation (PBE) of TmAgAu after structural relaxation.

abc: 4.665 9.364 5.832
angles: 90.00 90.00 90.00
Atoms (fractional coordinates):
Tm  0.000  0.194  0.250
Tm  0.000  0.806  0.750
Tm  0.500  0.306  0.750
Tm  0.500  0.694  0.250
Ag  0.000  0.500  0.000
Ag  0.000  0.500  0.500
Ag  0.500  0.000  0.000
Ag  0.500  0.000  0.500
Au  0.000  0.122  0.750
Au  0.000  0.878  0.250
Au  0.500  0.378  0.250
Au  0.500  0.622  0.750

Final energy: -12.47 eV/f.u.
Symmetry: No. 63
Total magnetization: 0.0 μB per formula unit
Energy of formation from the pure elements: -622 meV/atom

---

[2]
The following is a DFT calculation (PBE) of TmAgAu after structural relaxation.

abc: 3.697 3.697 9.081
angles: 90.00 90.00 90.00
Atoms (fractional coordinates):
Tm  0.000  0.000  0.000
Tm  0.500  0.500  0.500
Ag  0.000  0.000  0.672
Ag  0.500  0.500  0.172
Au  0.000  0.000  0.341
Au  0.500  0.500  0.841

Final energy: -12.50 eV/f.u.
Symmetry: No. 107
Total magnetization: 0.0 μB per formula unit
Energy of formation from the pure elements: -635 meV/atom

---

[3]
The following is a DFT calculation (PBE) of TmAg2Au2 after structural relaxation.

abc: 5.737 5.737 7.871
angles: 110.01 110.01 54.15
Atoms (fractional coordinates):
Tm  0.165  0.835  0.750
Tm  0.835  0.165  0.250
Ag  0.229  0.555  0.048
Ag  0.445  0.771  0.452
Ag  0.555  0.229  0.548
Ag  0.771  0.445  0.952
Au  0.014  0.368  0.646
Au  0.368  0.014  0.146
Au  0.632  0.986  0.854
Au  0.986  0.632  0.354

Final energy: -18.81 eV/f.u.
Symmetry: No. 15
Total magnetization: 0.0 μB per formula unit
Energy of formation from the pure elements: -416 meV/atom

---

[4]
The following is a DFT calculation (PBE) of Tm3AgAu2 after structural relaxation.

abc: 5.035 5.035 12.359
angles: 90.00 90.00 120.00
Atoms (fractional coordinates):
Tm  0.000  0.000  0.247
Tm  0.000  0.000  0.753
Tm  0.333  0.667  0.418
Tm  0.333  0.667  0.920
Tm  0.667  0.333  0.080
Tm  0.667  0.333  0.582
Ag  0.333  0.667  0.670
Ag  0.667  0.333  0.330
Au  0.000  0.000  0.000
Au  0.000  0.000  0.500
Au  0.333  0.667  0.175
Au  0.667  0.333  0.825

Final energy: -27.11 eV/f.u.
Symmetry: No. 164
Total magnetization: 0.0 μB per formula unit
Energy of formation from the pure elements: -715 meV/atom